NaSrV: optimized geometry, GGA-PBE.

Lattice parameters (Å, degrees): 5.5167 5.5167 5.5167 60.00 60.00 60.00
Sites, in units of the cell vectors:
Na  0.0000  0.0000  0.0000
Sr  0.5000  0.5000  0.5000
V  0.7500  0.7500  0.7500

Total moment ... 4.978 μB per cell
Crystal system ... cubic
Volume ... 39.57 A^3/atom
Energy relative to the lowest polymorph listed for this composition ... 0.636 eV per atom
SG ... F-43m, No. 216

FePt2Rh2: optimized geometry, GGA-PBE.

Lattice parameters (Å, degrees): 6.9634 6.9634 6.9634 150.86 150.86 41.69
Sites, in units of the cell vectors:
Fe  0.0000  0.0000  0.0000
Pt  0.4039  0.4039  0.0000
Pt  0.5961  0.5961  0.0000
Rh  0.2500  0.7500  0.5000
Rh  0.7500  0.2500  0.5000

Total moment ... 0.004 μB per cell
Crystal system ... tetragonal
Volume ... 15.98 A^3/atom
Energy relative to the lowest polymorph listed for this composition ... 0.603 eV per atom
SG ... I4/mmm, No. 139

TiZn6Pd: optimized geometry, GGA-PBE.

Lattice parameters (Å, degrees): 3.9945 3.9945 7.3786 90.00 90.00 90.00
Sites, in units of the cell vectors:
Ti  0.0000  0.0000  0.0000
Zn  0.0000  0.5000  0.2528
Zn  0.0000  0.5000  0.7472
Zn  0.5000  0.0000  0.2528
Zn  0.5000  0.0000  0.7472
Zn  0.5000  0.5000  0.0000
Zn  0.5000  0.5000  0.5000
Pd  0.0000  0.0000  0.5000

Total moment ... 0.000 μB per cell
Crystal system ... tetragonal
Volume ... 14.72 A^3/atom
Energy relative to the lowest polymorph listed for this composition ... 0.000 eV per atom
SG ... P4/mmm, No. 123

Er3TmNi3: optimized geometry, GGA-PBE.

Lattice parameters (Å, degrees): 6.6566 6.6566 6.7505 91.10 91.10 96.63
Sites, in units of the cell vectors:
Er  0.1760  0.8240  0.0000
Er  0.2498  0.7502  0.5000
Er  0.3372  0.3372  0.1282
Er  0.6628  0.6628  0.8718
Er  0.7502  0.2498  0.5000
Er  0.8240  0.1760  0.0000
Tm  0.2562  0.2562  0.6233
Tm  0.7438  0.7438  0.3767
Ni  0.0162  0.5028  0.7891
Ni  0.0586  0.0586  0.3140
Ni  0.4972  0.9838  0.2109
Ni  0.5028  0.0162  0.7891
Ni  0.9414  0.9414  0.6860
Ni  0.9838  0.4972  0.2109

Total moment ... 0.000 μB per cell
Crystal system ... monoclinic
Volume ... 21.21 A^3/atom
SG ... C2/m, No. 12
Final energy ... -5.40 eV per atom